MnVSiB | PBE-GGA | optimized geometry

**Size of the total moment**: 0.00 Bohr magnetons per cell
**Raw total energy**: -7.91 eV per atom
**DOS(E_F)**: 0.701 states/eV/atom
**V**: 10.6 Å³/atom

a b c (Å): 7.9428 2.9337 4.3271
angles (deg): 90.00 122.65 90.00
Space group Cm (No. 8)
Inequivalent atoms, fractional coordinates:
Mn: 0.0000 0.0000 0.0000 x2
V: 0.3969 0.0000 0.3907 x2
Si: 0.2022 0.0000 0.6646 x2
B: 0.1921 0.5000 0.9838 x2